#one
# BiPPd4

Crystalline BiPPd4 at its relaxed geometry (PBE-GGA, Alexandria).

As for the space group: P-1. As for the total magnetization: 0.000 μB/f.u.

Unit cell a=6.108 b=5.477 c=7.172 alpha=95.94 beta=115.33 gamma=90.03
Sites, in units of the cell vectors:
Bi 0.838 0.750 0.000
Bi 0.162 0.250 0.000
P 0.500 0.000 0.500
P 0.000 0.500 0.500
Pd 0.468 0.099 0.805
Pd 0.663 0.401 0.195
Pd 0.532 0.901 0.195
Pd 0.337 0.599 0.805
Pd 0.903 0.880 0.623
Pd 0.280 0.621 0.377
Pd 0.097 0.120 0.377
Pd 0.720 0.379 0.623

---

#two
# BiPPd4

Crystalline BiPPd4 at its relaxed geometry (PBE-GGA, Alexandria).

As for the space group: P2_1/m. As for the total magnetization: 0.000 μB/f.u.

Unit cell a=4.520 b=6.260 c=7.521 alpha=90.00 beta=99.44 gamma=90.00
Sites, in units of the cell vectors:
Bi 0.265 0.750 0.565
Bi 0.735 0.250 0.435
P 0.888 0.750 0.049
P 0.112 0.250 0.951
Pd 0.700 0.750 0.322
Pd 0.300 0.250 0.678
Pd 0.374 0.750 0.950
Pd 0.626 0.250 0.050
Pd 0.169 0.023 0.216
Pd 0.831 0.523 0.784
Pd 0.169 0.477 0.216
Pd 0.831 0.977 0.784

---

So which one is most stable? That would be #two, about 0.025 eV/atom below the next structure.

---

#one
# Bi2PPd6

Crystalline Bi2PPd6 at its relaxed geometry (PBE-GGA, Alexandria).

As for the space group: Immm. As for the total magnetization: 0.000 μB/f.u.

Unit cell a=3.850 b=7.348 c=7.383 alpha=119.84 beta=105.09 gamma=90.00
Sites, in units of the cell vectors:
Bi 0.647 0.646 0.293
Bi 0.353 0.354 0.707
P 0.000 0.000 0.000
Pd 0.163 0.368 0.326
Pd 0.837 0.042 0.674
Pd 0.837 0.632 0.674
Pd 0.500 0.192 0.000
Pd 0.163 0.958 0.326
Pd 0.500 0.808 0.000

---

#two
# Bi2PPd6

Crystalline Bi2PPd6 at its relaxed geometry (PBE-GGA, Alexandria).

As for the space group: Fm-3m. As for the total magnetization: 0.000 μB/f.u.

Unit cell a=6.138 b=6.138 c=6.139 alpha=60.00 beta=60.00 gamma=60.01
Sites, in units of the cell vectors:
Bi 0.250 0.250 0.250
Bi 0.750 0.750 0.750
P 0.500 0.500 0.500
Pd 0.236 0.236 0.764
Pd 0.236 0.764 0.236
Pd 0.764 0.236 0.764
Pd 0.764 0.236 0.236
Pd 0.236 0.764 0.764
Pd 0.764 0.764 0.236

---

So which one is most stable? That would be #two, about 0.059 eV/atom below the next structure.

---

#one
# Bi3PPd

Crystalline Bi3PPd at its relaxed geometry (PBE-GGA, Alexandria).

As for the space group: Pm-3m. As for the total magnetization: 0.000 μB/f.u.

Unit cell a=5.339 b=5.339 c=5.339 alpha=90.00 beta=90.00 gamma=90.00
Sites, in units of the cell vectors:
P 0.000 0.000 0.000
Bi 0.000 0.500 0.000
Bi 0.000 0.000 0.500
Bi 0.500 0.000 0.000
Pd 0.500 0.500 0.500

---

#two
# Bi3PPd

Crystalline Bi3PPd at its relaxed geometry (PBE-GGA, Alexandria).

As for the space group: Pm-3m. As for the total magnetization: 0.000 μB/f.u.

Unit cell a=5.336 b=5.336 c=5.336 alpha=90.00 beta=90.00 gamma=90.00
Sites, in units of the cell vectors:
P 0.500 0.500 0.500
Bi 0.000 0.500 0.000
Bi 0.000 0.000 0.500
Bi 0.500 0.000 0.000
Pd 0.000 0.000 0.000

---

So which one is most stable? That would be #two, about 0.049 eV/atom below the next structure.

---

#one
# BiP2PdS

Crystalline BiP2PdS at its relaxed geometry (PBE-GGA, Alexandria).

As for the space group: P4/mmm. As for the total magnetization: 0.735 μB/f.u.

Unit cell a=5.255 b=5.255 c=5.119 alpha=90.00 beta=90.00 gamma=90.00
Each line ends with the local moment (μB).
Sites, in units of the cell vectors:
P 0.000 0.500 0.000  0.14
P 0.500 0.000 0.000  0.14
S 0.000 0.000 0.500  0.05
Bi 0.000 0.000 0.000  -0.01
Pd 0.500 0.500 0.500  0.08

---

#two
# BiP2PdS

Crystalline BiP2PdS at its relaxed geometry (PBE-GGA, Alexandria).

As for the space group: P4/mmm. As for the total magnetization: 0.000 μB/f.u.

Unit cell a=4.675 b=4.675 c=4.879 alpha=90.00 beta=90.00 gamma=90.00
Sites, in units of the cell vectors:
P 0.000 0.500 0.000
P 0.500 0.000 0.000
S 0.000 0.000 0.500
Bi 0.500 0.500 0.500
Pd 0.000 0.000 0.000

---

So which one is most stable? That would be #two, about 0.911 eV/atom below the next structure.

---

#one
# BiPPdS2

Crystalline BiPPdS2 at its relaxed geometry (PBE-GGA, Alexandria).

As for the space group: P4/mmm. As for the total magnetization: 0.000 μB/f.u.

Unit cell a=4.835 b=4.835 c=4.559 alpha=90.00 beta=90.00 gamma=90.00
Sites, in units of the cell vectors:
P 0.000 0.000 0.500
S 0.000 0.500 0.000
S 0.500 0.000 0.000
Bi 0.500 0.500 0.500
Pd 0.000 0.000 0.000

---

#two
# BiPPdS2

Crystalline BiPPdS2 at its relaxed geometry (PBE-GGA, Alexandria).

As for the space group: P4/mmm. As for the total magnetization: 1.827 μB/f.u.

Unit cell a=5.172 b=5.172 c=5.320 alpha=90.00 beta=90.00 gamma=90.00
Each line ends with the local moment (μB).
Sites, in units of the cell vectors:
P 0.000 0.000 0.500  0.40
S 0.000 0.500 0.000  0.18
S 0.500 0.000 0.000  0.18
Bi 0.000 0.000 0.000  -0.02
Pd 0.500 0.500 0.500  0.42

---

So which one is most stable? That would be #one, about 0.824 eV/atom below the next structure.

---

#one
# Pm2BiP

Crystalline Pm2BiP at its relaxed geometry (PBE-GGA, Alexandria).

As for the space group: R-3m. As for the total magnetization: 0.000 μB/f.u.

Unit cell a=4.290 b=4.290 c=7.697 alpha=89.97 beta=106.20 gamma=120.02
Sites, in units of the cell vectors:
Pm 0.520 0.260 0.781
Pm 0.480 0.740 0.219
Bi 0.000 0.500 0.500
P 0.000 0.000 0.000

---

#two
# Pm2BiP

Crystalline Pm2BiP at its relaxed geometry (PBE-GGA, Alexandria).

As for the space group: R3m. As for the total magnetization: 0.000 μB/f.u.

Unit cell a=4.199 b=4.199 c=8.041 alpha=74.87 beta=74.87 gamma=60.00
Sites, in units of the cell vectors:
Pm 0.070 0.070 0.790
Pm 0.263 0.263 0.211
Bi 0.499 0.499 0.503
P 0.668 0.668 0.996

---

So which one is most stable? That would be #one, about 0.086 eV/atom below the next structure.

---

#one
# Pm3Bi2P

Crystalline Pm3Bi2P at its relaxed geometry (PBE-GGA, Alexandria).

As for the space group: C2/c. As for the total magnetization: 0.000 μB/f.u.

Unit cell a=7.595 b=7.685 c=7.685 alpha=119.30 beta=99.56 gamma=99.56
Sites, in units of the cell vectors:
Pm 0.003 0.204 0.355
Pm 0.503 0.355 0.204
Pm 0.000 0.500 0.000
Pm 0.997 0.796 0.645
Pm 0.500 0.000 0.500
Pm 0.497 0.645 0.796
Bi 0.250 0.918 0.082
Bi 0.250 0.242 0.758
Bi 0.750 0.082 0.918
Bi 0.750 0.758 0.242
P 0.250 0.585 0.415
P 0.750 0.415 0.585

---

#two
# Pm3Bi2P

Crystalline Pm3Bi2P at its relaxed geometry (PBE-GGA, Alexandria).

As for the space group: P6_3/mmc. As for the total magnetization: 0.000 μB/f.u.

Unit cell a=4.355 b=4.355 c=22.792 alpha=90.00 beta=90.00 gamma=120.00
Sites, in units of the cell vectors:
Pm 0.000 0.000 0.000
Pm 0.333 0.667 0.174
Pm 0.333 0.667 0.326
Pm 0.000 0.000 0.500
Pm 0.667 0.333 0.674
Pm 0.667 0.333 0.826
Bi 0.333 0.667 0.914
Bi 0.667 0.333 0.086
Bi 0.667 0.333 0.414
Bi 0.333 0.667 0.586
P 0.000 0.000 0.250
P 0.000 0.000 0.750

---

So which one is most stable? That would be #one, about 0.080 eV/atom below the next structure.

---

#one
# PmBiP2

Crystalline PmBiP2 at its relaxed geometry (PBE-GGA, Alexandria).

As for the space group: P4/mmm. As for the total magnetization: 0.000 μB/f.u.

Unit cell a=3.754 b=4.896 c=4.896 alpha=90.00 beta=90.00 gamma=90.00
Sites, in units of the cell vectors:
P 0.000 0.000 0.500
P 0.000 0.500 0.000
Bi 0.500 0.000 0.000
Pm 0.500 0.500 0.500

---

#two
# PmBiP2

Crystalline PmBiP2 at its relaxed geometry (PBE-GGA, Alexandria).

As for the space group: Fm-3m. As for the total magnetization: 0.000 μB/f.u.

Unit cell a=5.061 b=5.061 c=5.061 alpha=60.00 beta=60.00 gamma=60.00
Sites, in units of the cell vectors:
P 0.250 0.250 0.250
P 0.750 0.750 0.750
Bi 0.000 0.000 0.000
Pm 0.500 0.500 0.500

---

So which one is most stable? That would be #one, about 0.113 eV/atom below the next structure.